DFT (PBE+U) results for an optimized crystal structure of DyCrAgF6.

Cell lengths 5.8617, 5.8617, 9.9083 Å; angles 90.00, 90.00, 120.00 degrees
Positions (direct):
Dy  0.3333  0.6667  0.2500
Dy  0.6667  0.3333  0.7500
Cr  0.3333  0.6667  0.7500
Cr  0.6667  0.3333  0.2500
Ag  0.0000  0.0000  0.0000
Ag  0.0000  0.0000  0.5000
F  0.0086  0.3688  0.6388
F  0.0086  0.6398  0.8612
F  0.3602  0.3688  0.8612
F  0.3602  0.9914  0.6388
F  0.3688  0.0086  0.1388
F  0.3688  0.3602  0.3612
F  0.6312  0.6398  0.6388
F  0.6312  0.9914  0.8612
F  0.6398  0.0086  0.3612
F  0.6398  0.6312  0.1388
F  0.9914  0.3602  0.1388
F  0.9914  0.6312  0.3612

## Properties
Its space group is No. 163. As for the crystal system: trigonal. The value obtained for the total energy is -0.4170 Ry per atom. For the volume, the calculation gives 16.4 Å³ per atom.